Record 1
## Ba6Ho2Ga4O15 (PBE)

Data for a geometry-optimized Ba6Ho2Ga4O15 structure.

Results
**E_tot**: -355.57 eV for the cell shown

Unit cell a=8.0357 b=6.0339 c=18.6636 alpha=90.00 beta=91.27 gamma=90.00
Last column: nearest neighbours and their distance in Å.
Element x y z (fractional)
Ba (0.0000, 0.1711, 0.2500)  8 O 2.74-3.04
Ba (0.0001, 0.2544, 0.5791)  2 O 2.55-2.82
Ba (0.9999, 0.2544, 0.9209)  2 O 2.55-2.82
Ba (0.0001, 0.7456, 0.0791)  2 O 2.55-2.82
Ba (0.9999, 0.7456, 0.4209)  2 O 2.55-2.82
Ba (0.0000, 0.8289, 0.7500)  8 O 2.74-3.04
Ba (0.4735, 0.2504, 0.9098)  7 O 2.75-3.01
Ba (0.4735, 0.7496, 0.4098)  7 O 2.75-3.01
Ba (0.5000, 0.2248, 0.2500)  5 O 2.69-2.84
Ba (0.5000, 0.7752, 0.7500)  5 O 2.69-2.84
Ba (0.5265, 0.2504, 0.5902)  7 O 2.75-3.01
Ba (0.5265, 0.7496, 0.0902)  7 O 2.75-3.01
Ho (0.2528, 0.2483, 0.0895)  6 O 2.21-2.38
Ho (0.2528, 0.7517, 0.5895)  6 O 2.21-2.38
Ho (0.7472, 0.2483, 0.4105)  6 O 2.21-2.38
Ho (0.7472, 0.7517, 0.9105)  6 O 2.21-2.38
Ga (0.2545, 0.2453, 0.4425)  4 O 1.88-1.90
Ga (0.2545, 0.7547, 0.9425)  4 O 1.88-1.90
Ga (0.2702, 0.2733, 0.7329)  4 O 1.82-1.89
Ga (0.2702, 0.7267, 0.2329)  4 O 1.82-1.89
Ga (0.7298, 0.2733, 0.7671)  4 O 1.82-1.89
Ga (0.7298, 0.7267, 0.2671)  4 O 1.82-1.89
Ga (0.7455, 0.2453, 0.0575)  4 O 1.88-1.90
Ga (0.7455, 0.7547, 0.5575)  4 O 1.88-1.90
O (0.0316, 0.2562, 0.4103)  1 Ga 1.88
O (0.0316, 0.7438, 0.9103)  1 Ga 1.88
O (0.1887, 0.1665, 0.8164)  1 Ga 1.82
O (0.1887, 0.8335, 0.3164)  1 Ga 1.82
O (0.2229, 0.4568, 0.1897)  1 Ga 1.85
O (0.2229, 0.5432, 0.6897)  1 Ga 1.85
O (0.2530, 0.0485, 0.6624)  1 Ga 1.89
O (0.2530, 0.9515, 0.1624)  1 Ga 1.89
O (0.2661, 0.0158, 0.9976)  1 Ga 1.88
O (0.2661, 0.9842, 0.4976)  1 Ga 1.88
O (0.2672, 0.4827, 0.5093)  1 Ga 1.90
O (0.2672, 0.5173, 0.0093)  1 Ga 1.90
O (0.4532, 0.2666, 0.3919)  1 Ga 1.88
O (0.4532, 0.7334, 0.8919)  1 Ga 1.88
O (0.5000, 0.3057, 0.7500)  2 Ga 1.88
O (0.5000, 0.6943, 0.2500)  2 Ga 1.88
O (0.5468, 0.2666, 0.1081)  1 Ga 1.88
O (0.5468, 0.7334, 0.6081)  1 Ga 1.88
O (0.7328, 0.4827, 0.9907)  1 Ga 1.90
O (0.7328, 0.5173, 0.4907)  1 Ga 1.90
O (0.7339, 0.0158, 0.5024)  1 Ga 1.88
O (0.7339, 0.9842, 0.0024)  1 Ga 1.88
O (0.7470, 0.0485, 0.8376)  1 Ga 1.89
O (0.7470, 0.9515, 0.3376)  1 Ga 1.89
O (0.7771, 0.4568, 0.3103)  1 Ga 1.85
O (0.7771, 0.5432, 0.8103)  1 Ga 1.85
O (0.8113, 0.1665, 0.6836)  1 Ga 1.82
O (0.8113, 0.8335, 0.1836)  1 Ga 1.82
O (0.9684, 0.2562, 0.0897)  1 Ga 1.88
O (0.9684, 0.7438, 0.5897)  1 Ga 1.88

---

Record 2
## BaHoGa2Pt2 (PBE)

Data for a geometry-optimized BaHoGa2Pt2 structure.

Results
**E_tot**: -30.35 eV for the cell shown
**Formation energy**: -0.953 eV/atom

Unit cell a=4.4986 b=4.4986 c=8.0533 alpha=90.00 beta=90.00 gamma=120.00
Last column: nearest neighbours and their distance in Å.
Element x y z (fractional)
Ba (0.0000, 0.0000, 0.0000)  6 Ga 3.55, 6 Pt 3.60
Ho (0.0000, 0.0000, 0.5000)  6 Pt 3.02, 6 Ga 3.05
Ga (0.3333, 0.6667, 0.6994)  3 Pt 2.60
Ga (0.6667, 0.3333, 0.3006)  3 Pt 2.60
Pt (0.3333, 0.6667, 0.3090)  3 Ga 2.60
Pt (0.6667, 0.3333, 0.6910)  3 Ga 2.60

---

Record 3
## BaHoGaS4 (PBE)

Data for a geometry-optimized BaHoGaS4 structure.

Results
**E_tot**: -74.42 eV for the cell shown

Unit cell a=6.5416 b=6.7384 c=8.4507 alpha=90.00 beta=107.52 gamma=90.00
Last column: nearest neighbours and their distance in Å.
Element x y z (fractional)
Ba (0.2470, 0.2500, 0.4386)  6 S 3.00-3.36
Ba (0.7530, 0.7500, 0.5614)  6 S 3.00-3.36
Ho (0.2796, 0.2500, 0.9476)  6 S 2.71-2.83
Ho (0.7204, 0.7500, 0.0524)  6 S 2.71-2.83
Ga (0.2655, 0.7500, 0.1722)  4 S 2.24-2.29
Ga (0.7345, 0.2500, 0.8278)  4 S 2.24-2.29
S (0.0431, 0.7500, 0.9126)  1 Ga 2.24
S (0.0671, 0.7500, 0.3501)  1 Ga 2.26
S (0.4933, 0.5063, 0.7849)  1 Ga 2.29
S (0.4933, 0.9937, 0.7849)  1 Ga 2.29
S (0.5067, 0.0063, 0.2151)  1 Ga 2.29
S (0.5067, 0.4937, 0.2151)  1 Ga 2.29
S (0.9329, 0.2500, 0.6499)  1 Ga 2.26
S (0.9569, 0.2500, 0.0874)  1 Ga 2.24

---

Record 4
## Ba2HoGaS5 (PBE)

Data for a geometry-optimized Ba2HoGaS5 structure.

Results
**E_tot**: -95.69 eV for the cell shown

Unit cell a=9.4078 b=9.4078 c=13.0074 alpha=90.00 beta=90.00 gamma=155.11
Last column: nearest neighbours and their distance in Å.
Element x y z (fractional)
Ba (0.1199, 0.8801, 0.5000)  7 S 3.13-3.45
Ba (0.1285, 0.8715, 0.1404)  6 S 3.15-3.23
Ba (0.8715, 0.1285, 0.6404)  6 S 3.15-3.23
Ba (0.8801, 0.1199, 0.0000)  7 S 3.13-3.45
Ho (0.2051, 0.7949, 0.8423)  6 S 2.62-2.91
Ho (0.7949, 0.2051, 0.3423)  6 S 2.62-2.91
Ga (0.4405, 0.5595, 0.2445)  4 S 2.24-2.41
Ga (0.5595, 0.4405, 0.7445)  4 S 2.24-2.41
S (0.0470, 0.9530, 0.8431)  2 Ga 2.41
S (0.2960, 0.7040, 0.4794)  2 Ho 2.70
S (0.3172, 0.6828, 0.1950)  1 Ga 2.35
S (0.3471, 0.6529, 0.8227)  1 Ho 2.62
S (0.5000, 0.5000, 0.0943)  1 Ga 2.24
S (0.5000, 0.5000, 0.5943)  1 Ga 2.24
S (0.6529, 0.3471, 0.3227)  1 Ho 2.62
S (0.6828, 0.3172, 0.6950)  1 Ga 2.35
S (0.7040, 0.2960, 0.9794)  2 Ho 2.70
S (0.9530, 0.0470, 0.3431)  2 Ga 2.41

---

Record 5
## Ba2HoGa2S6 (PBE)

Data for a geometry-optimized Ba2HoGa2S6 structure.

Results
**E_tot**: -54.49 eV for the cell shown

Unit cell a=6.8040 b=6.8040 c=7.8878 alpha=109.23 beta=109.23 gamma=64.42
Last column: nearest neighbours and their distance in Å.
Element x y z (fractional)
Ba (0.2001, 0.2001, 0.1713)  5 S 3.10-3.34
Ba (0.7999, 0.7999, 0.8287)  5 S 3.10-3.34
Ho (0.0000, 0.0000, 0.5000)  6 S 2.68-2.75
Ga (0.4561, 0.4561, 0.6519)  3 S 2.23-2.27
Ga (0.5439, 0.5439, 0.3481)  3 S 2.23-2.27
S (0.1841, 0.7103, 0.2075)  1 Ga 2.27
S (0.2492, 0.2492, 0.5873)  1 Ga 2.23
S (0.2897, 0.8159, 0.7925)  1 Ga 2.27
S (0.7103, 0.1841, 0.2075)  1 Ga 2.27
S (0.7508, 0.7508, 0.4127)  1 Ga 2.23
S (0.8159, 0.2897, 0.7925)  1 Ga 2.27

---

Record 6
## BaHoGaSe4 (PBE)

Data for a geometry-optimized BaHoGaSe4 structure.

Results
**E_tot**: -67.26 eV for the cell shown

Unit cell a=6.8092 b=7.0639 c=8.7586 alpha=90.00 beta=107.49 gamma=90.00
Last column: nearest neighbours and their distance in Å.
Element x y z (fractional)
Ba (0.2426, 0.2500, 0.0580)  6 Se 3.13-3.45
Ba (0.7574, 0.7500, 0.9420)  6 Se 3.13-3.45
Ho (0.2267, 0.2500, 0.5554)  6 Se 2.84-2.98
Ho (0.7733, 0.7500, 0.4446)  6 Se 2.84-2.98
Ga (0.2296, 0.7500, 0.3270)  4 Se 2.37-2.43
Ga (0.7704, 0.2500, 0.6730)  4 Se 2.37-2.43
Se (0.0139, 0.5104, 0.7173)  1 Ga 2.43
Se (0.0139, 0.9896, 0.7173)  1 Ga 2.43
Se (0.4285, 0.7500, 0.1426)  1 Ga 2.40
Se (0.4556, 0.7500, 0.5928)  1 Ga 2.37
Se (0.5444, 0.2500, 0.4072)  1 Ga 2.37
Se (0.5715, 0.2500, 0.8574)  1 Ga 2.40
Se (0.9861, 0.0104, 0.2827)  1 Ga 2.43
Se (0.9861, 0.4896, 0.2827)  1 Ga 2.43

---

Record 7
## Ba2HoGaTe5 (PBE)

Data for a geometry-optimized Ba2HoGaTe5 structure.

Results
**E_tot**: -77.63 eV for the cell shown

Unit cell a=10.5437 b=10.5437 c=14.2255 alpha=90.00 beta=90.00 gamma=155.34
Last column: nearest neighbours and their distance in Å.
Element x y z (fractional)
Ba (0.1218, 0.8782, 0.5000)  7 Te 3.46-3.72
Ba (0.1262, 0.8738, 0.1358)  7 Te 3.48-3.90
Ba (0.8738, 0.1262, 0.6358)  7 Te 3.48-3.90
Ba (0.8782, 0.1218, 0.0000)  7 Te 3.46-3.72
Ho (0.2059, 0.7941, 0.8375)  6 Te 2.99-3.24
Ho (0.7941, 0.2059, 0.3375)  6 Te 2.99-3.24
Ga (0.4380, 0.5620, 0.2444)  4 Te 2.61-2.75
Ga (0.5620, 0.4380, 0.7444)  4 Te 2.61-2.75
Te (0.0491, 0.9509, 0.8541)  2 Ga 2.75
Te (0.2950, 0.7050, 0.4816)  2 Ho 3.04
Te (0.3122, 0.6878, 0.1846)  1 Ga 2.73
Te (0.3507, 0.6493, 0.8193)  1 Ho 2.99
Te (0.4998, 0.5002, 0.0840)  1 Ga 2.61
Te (0.5002, 0.4998, 0.5840)  1 Ga 2.61
Te (0.6493, 0.3507, 0.3193)  1 Ho 2.99
Te (0.6878, 0.3122, 0.6846)  1 Ga 2.73
Te (0.7050, 0.2950, 0.9816)  2 Ho 3.04
Te (0.9509, 0.0491, 0.3541)  2 Ga 2.75

---

Record 8
## BaGaI (PBE)

Data for a geometry-optimized BaGaI structure.

Results
**E_tot**: -8.21 eV for the cell shown

Unit cell a=4.2340 b=5.8759 c=5.8759 alpha=51.26 beta=90.00 gamma=90.00
Last column: nearest neighbours and their distance in Å.
Element x y z (fractional)
Ba (0.0000, 0.0000, 0.0000)  4 Ga 3.45, 2 I 3.80
Ga (0.5000, 0.4087, 0.4087)  3 I 3.11-3.36, 4 Ba 3.45
I (0.5000, 0.7020, 0.7020)  3 Ga 3.11-3.36